Entry 1:
## Ce2SmS4 (GGA-PBE)

Data for a geometry-optimized Ce2SmS4 structure.

Cell and atoms, written as POSCAR:
```
Ce2SmS4
1.0
-4.7341 1.1708 -5.5370
-2.9762 -4.8148 4.7330
1.3897 6.3616 3.4698
S Sm Ce
8 2 4
direct
0.9737 0.7245 0.6017 S
0.4745 0.2237 0.1017 S
0.7763 0.8780 0.2509 S
0.1220 0.3729 0.8983 S
0.1229 0.3720 0.3983 S
0.2755 0.8771 0.2491 S
0.6271 0.5255 0.7491 S
0.6280 0.0263 0.7509 S
0.0000 0.0000 0.0000 Sm
0.7500 0.2500 0.5000 Sm
0.2493 0.1250 0.6243 Ce
0.3750 0.7507 0.8757 Ce
0.8750 0.4993 0.1243 Ce
0.5007 0.6250 0.3757 Ce
```

Summary:
final energy = -47.25 eV per formula unit
SG = No. 122
energy relative to the elements, uncorrected = -2022 meV per atom

***

Entry 2:
## Ce3Sm2S8 (GGA-PBE)

Data for a geometry-optimized Ce3Sm2S8 structure.

Cell and atoms, written as POSCAR:
```
Ce3Sm2S8
1.0
6.8673 0.0000 0.1277
0.0000 8.1366 0.0000
-2.6165 -4.0683 6.5759
S Sm Ce
8 2 3
direct
0.8944 0.6102 0.2204 S
0.4137 0.3553 0.2541 S
0.5863 0.6447 0.7459 S
0.0686 0.8840 0.7680 S
0.4137 0.8988 0.2541 S
0.1056 0.3898 0.7796 S
0.5863 0.1012 0.7459 S
0.9314 0.1160 0.2320 S
0.6564 0.7327 0.4655 Sm
0.3436 0.2673 0.5345 Sm
0.0000 0.7382 0.0000 Ce
0.0000 0.2618 0.0000 Ce
0.5000 0.0000 0.0000 Ce
```

Summary:
final energy = -85.06 eV per formula unit
SG = No. 12
energy relative to the elements, uncorrected = -1907 meV per atom

***

Entry 3:
## CeSmS3 (GGA-PBE)

Data for a geometry-optimized CeSmS3 structure.

Cell and atoms, written as POSCAR:
```
CeSmS3
1.0
4.0188 0.0000 0.0000
0.0000 7.4608 0.0000
0.0000 0.0000 15.4511
S Ce Sm
12 4 4
direct
0.2500 0.5100 0.1078 S
0.7500 0.6252 0.4323 S
0.2500 0.8748 0.9323 S
0.2500 0.3748 0.5677 S
0.7500 0.4900 0.8922 S
0.7500 0.3517 0.2802 S
0.2500 0.6483 0.7198 S
0.2500 0.0100 0.3922 S
0.7500 0.9900 0.6078 S
0.2500 0.1483 0.7802 S
0.7500 0.8517 0.2198 S
0.7500 0.1252 0.0677 S
0.7500 0.8615 0.7944 Ce
0.7500 0.3615 0.7056 Ce
0.2500 0.1385 0.2056 Ce
0.2500 0.6385 0.2944 Ce
0.7500 0.7361 0.0436 Sm
0.2500 0.2639 0.9564 Sm
0.2500 0.7639 0.5436 Sm
0.7500 0.2361 0.4564 Sm
```

Summary:
final energy = -33.27 eV per formula unit
SG = No. 62
energy relative to the elements, uncorrected = -2047 meV per atom

***

Entry 4:
## CeSmS2 (GGA-PBE)

Data for a geometry-optimized CeSmS2 structure.

Cell and atoms, written as POSCAR:
```
CeSmS2
1.0
-1.8857 -3.0549 -1.7977
2.0948 -3.1745 -1.2865
-0.7669 -4.9916 4.8031
Ce S Sm
1 2 1
direct
0.0000 0.0000 0.0000 Ce
0.2493 0.2493 0.2522 S
0.7507 0.7507 0.7478 S
0.5000 0.5000 0.5000 Sm
```

Summary:
final energy = -27.07 eV per formula unit
SG = No. 166
energy relative to the elements, uncorrected = -2040 meV per atom